Record 1
First-principles (PBEsol) data for crystalline Ta2MnAl at its relaxed geometry, as listed in Alexandria.

Lattice parameters (Å, degrees): 3.5094 4.1287 4.2582 90.00 90.00 90.00
Last column: nearest neighbours and their distance in Å.
Sites, in units of the cell vectors:
1 Mn 0.0000 0.5000 0.5000  8 Ta 2.71-2.97, 4 Al 2.76
2 Ta 0.0000 0.0000 0.0000  4 Al 2.71, 4 Ta 2.76, 4 Mn 2.97
3 Ta 0.5000 0.0000 0.5000  4 Mn 2.71, 4 Ta 2.76, 4 Al 2.97
4 Al 0.5000 0.5000 0.0000  8 Ta 2.71-2.97, 4 Mn 2.76

Results
Magnetic moment (μB/atom): 0.448
ΔH_f (0 K) (eV/atom): -0.0510
SG: Pmmm
Raw total energy (eV per atom): -9.79
Calculated density (g/cm3): 11.9

=====

Record 2
First-principles (PBEsol) data for crystalline NaSb2Pd2 at its relaxed geometry, as listed in Alexandria.

Lattice parameters (Å, degrees): 3.2076 7.9139 7.9139 90.00 90.00 90.00
Last column: nearest neighbours and their distance in Å.
Sites, in units of the cell vectors:
1 Sb 0.5000 0.3375 0.1625  6 Pd 2.82-2.83
2 Sb 0.5000 0.6625 0.8375  6 Pd 2.82-2.83
3 Sb 0.5000 0.8375 0.3375  6 Pd 2.82-2.83
4 Sb 0.5000 0.1625 0.6625  6 Pd 2.82-2.83
5 Na 0.0000 0.0000 0.0000  4 Pd 3.11, 2 Na 3.21, 8 Sb 3.37
6 Na 0.0000 0.5000 0.5000  4 Pd 3.11, 2 Na 3.21, 8 Sb 3.37
7 Pd 0.0000 0.8711 0.6289  6 Sb 2.82-2.83, 1 Pd 2.88, 2 Na 3.11
8 Pd 0.0000 0.6289 0.1289  6 Sb 2.82-2.83, 1 Pd 2.88, 2 Na 3.11
9 Pd 0.0000 0.1289 0.3711  6 Sb 2.82-2.83, 1 Pd 2.88, 2 Na 3.11
10 Pd 0.0000 0.3711 0.8711  6 Sb 2.82-2.83, 1 Pd 2.88, 2 Na 3.11

Results
Magnetic moment (μB/atom): 0.000
Offset from the most stable computed form (meV per atom): 27
Uncorrected formation energy (eV/atom): -0.371
SG: P4/mbm
Raw total energy (eV per atom): -4.86
Calculated density (g/cm3): 7.9

=====

What is the raw total energy in the first record? -9.79 eV per atom

=====

Among the records above, which one has the lowest calculated density? NaSb2Pd2

=====

Which value of calculated density does entry 1 give? 11.9 g/cm3

=====

Number 1 is which compound? Ta2MnAl